Entry from Alexandria via LeMat-Bulk: a relaxed structure of GaAuF3 (GGA-PBE).

abc: 4.0939 4.0939 4.0939
angles: 90.00 90.00 90.00
With the nearest neighbours (Å) after each atom.
Space group Pm-3m (No. 221)
Inequivalent atoms, fractional coordinates:
1 Ga 0.0000 0.0000 0.0000 x1  6 F 2.05
2 Au 0.5000 0.5000 0.5000 x1  12 F 2.89
3 F 0.0000 0.0000 0.5000 x3  2 Ga 2.05

## Properties
Energy relative to the elements, uncorrected: -6.9 eV/f.u.
Calculated volume: 68.6 Å³/cell

Entry from Alexandria via LeMat-Bulk: a relaxed structure of Na2GeTe (GGA-PBE).

abc: 8.5271 8.5271 6.0393
angles: 90.00 90.00 90.00
With the nearest neighbours (Å) after each atom.
Space group I-42d (No. 122)
Inequivalent atoms, fractional coordinates:
1 Na 0.2497 0.2500 0.1250 x8  2 Na 3.02, 2 Ge 3.11, 2 Te 3.11
2 Ge 0.0000 0.0000 0.0000 x4  2 Te 3.02, 4 Na 3.11
3 Te 0.0000 0.0000 0.5000 x4  2 Ge 3.02, 4 Na 3.11

## Properties
Energy relative to the elements, uncorrected: -0.5 eV/f.u.
Calculated volume: 439.1 Å³/cell

Entry from Alexandria via LeMat-Bulk: a relaxed structure of Li2CeO3 (GGA-PBE).

abc: 5.4096 5.4096 16.2880
angles: 90.00 90.00 120.00
With the nearest neighbours (Å) after each atom.
Space group R-3c (No. 167, hexagonal axes)
Inequivalent atoms, fractional coordinates:
1 Li 0.0000 0.0000 0.1807 x12  3 O 2.11, 1 Li 2.26
2 Ce 0.0000 0.0000 0.0000 x6  6 O 2.27
3 O 0.0000 0.3289 0.2500 x18  2 Li 2.11, 2 Ce 2.27

## Properties
Energy relative to the elements, uncorrected: -15.6 eV/f.u.
Calculated volume: 412.8 Å³/cell

Entry from Alexandria via LeMat-Bulk: a relaxed structure of YZr2Te (GGA-PBE).

abc: 3.7734 3.7734 6.9534
angles: 90.00 90.00 90.00
With the nearest neighbours (Å) after each atom.
Space group P4mm (No. 99)
Inequivalent atoms, fractional coordinates:
1 Y 0.0000 0.0000 0.0000 x1  4 Te 3.25, 6 Zr 3.28-3.60
2 Zr 0.0000 0.0000 0.5175 x1  4 Te 3.06, 4 Zr 3.16, 1 Y 3.35
3 Zr 0.5000 0.5000 0.2735 x1  4 Zr 3.16, 1 Te 3.20, 4 Y 3.28
4 Te 0.5000 0.5000 0.7339 x1  5 Zr 3.06-3.20, 4 Y 3.25

## Properties
Energy relative to the elements, uncorrected: -1.6 eV/f.u.
Calculated volume: 99.0 Å³/cell

Entry from Alexandria via LeMat-Bulk: a relaxed structure of ZrFeNi2 (GGA-PBE).

abc: 2.7638 2.7638 25.7064
angles: 90.00 90.00 120.00
With the nearest neighbours (Å) after each atom.
Space group R-3m (No. 166, hexagonal axes)
Inequivalent atoms, fractional coordinates:
1 Zr 0.0000 0.0000 0.0000 x3  6 Zr 2.76, 6 Ni 2.86
2 Fe 0.0000 0.0000 0.5000 x3  6 Ni 2.49, 6 Fe 2.76
3 Ni 0.0000 0.0000 0.2411 x6  3 Fe 2.49, 6 Ni 2.76

## Properties
Calculated volume: 170.1 Å³/cell
Calculated formation energy: 18.6 kJ per mole of atoms

Entry from Alexandria via LeMat-Bulk: a relaxed structure of ScTa2Mo (GGA-PBE).

abc: 2.7791 2.7791 9.6339
angles: 90.00 90.00 90.00
With the nearest neighbours (Å) after each atom.
Space group P4/mmm (No. 123)
Inequivalent atoms, fractional coordinates:
1 Sc 0.0000 0.0000 0.0000 x1  4 Sc 2.78
2 Ta 0.5000 0.5000 0.2604 x2  4 Ta 2.78, 4 Mo 3.03
3 Mo 0.0000 0.0000 0.5000 x1  4 Mo 2.78, 8 Ta 3.03

## Properties
Calculated volume: 74.4 Å³/cell
Calculated formation energy: 27.4 kJ per mole of atoms

Entry from Alexandria via LeMat-Bulk: a relaxed structure of Nd2Y3Ho3 (GGA-PBE).

abc: 23.9585 3.6002 6.2314
angles: 90.00 105.05 90.00
With the nearest neighbours (Å) after each atom.
Space group C2/m (No. 12)
Inequivalent atoms, fractional coordinates:
1 Nd 0.2492 0.0000 0.2506 x4  3 Ho 3.57-3.59, 3 Y 3.58-3.60, 6 Nd 3.58-3.61
2 Y 0.0000 0.0000 0.0000 x2  4 Y 3.54-3.60, 8 Ho 3.54-3.60
3 Y 0.1238 0.0000 0.7898 x4  6 Ho 3.54-3.61, 3 Y 3.54-3.60, 3 Nd 3.58-3.60
4 Ho 0.0000 0.5000 0.5000 x2  4 Ho 3.53-3.60, 8 Y 3.54-3.60
5 Ho 0.1237 0.5000 0.2914 x4  3 Ho 3.53-3.60, 6 Y 3.54-3.61, 3 Nd 3.57-3.59

## Properties
Calculated volume: 519.1 Å³/cell
Calculated formation energy: 0.3 kJ per mole of atoms

Number 1: mass density 7.834 Mg/m³, D(E_F) 1.23 states/eV/f.u.. Number 2: mass density 3.724 Mg/m³, D(E_F) 2.38 states/eV/f.u.. Number 3: mass density 4.875 Mg/m³, D(E_F) 0.00 states/eV/f.u.. Number 4: mass density 6.691 Mg/m³, D(E_F) 6.07 states/eV/f.u.. Number 5: mass density 7.747 Mg/m³, D(E_F) 3.77 states/eV/f.u.. Number 6: mass density 11.221 Mg/m³, D(E_F) 5.35 states/eV/f.u.. Number 7: mass density 6.718 Mg/m³, D(E_F) 11.51 states/eV/f.u..